The following is a DFT calculation (PBE) of crystalline Sc3Al4Cu2 at its relaxed geometry.

abc: 9.9245 4.3769 8.1954
angles: 90.00 116.99 90.00
Last column: nearest neighbours and their distance in Å.
Space group C2/m (No. 12)
One atom of each set of equivalent atoms:
Sc (0.0000, 0.0000, 0.0000) (multiplicity 2)  8 Al 2.90-3.02, 4 Cu 2.98, 2 Sc 3.21
Sc (0.1668, 0.5000, 0.6617) (multiplicity 4)  4 Cu 2.94-3.01, 8 Al 2.95-3.11, 2 Sc 3.17-3.21
Al (0.0493, 0.0000, 0.3766) (multiplicity 4)  2 Cu 2.49, 1 Al 2.62
Al (0.2249, 0.5000, 0.0681) (multiplicity 4)  1 Cu 2.47, 2 Al 2.61
Cu (0.1065, 0.5000, 0.2761) (multiplicity 4)  3 Al 2.47-2.49

## Properties
Crystal system   monoclinic
Size of the total moment   0.0 μB per formula unit
Electronic total energy   -5.1217 eV/atom
Fermi-level density of states   5.64 states/eV/f.u.
DFT formation energy   -438 meV/atom
ρ   3.872 g/cm3